# 1
Material: NbGeS2
Method: DFT, PBEsol
State: relaxed

Results
Magnetic moment (μB/cell): 0.00
Energy relative to the elements, uncorrected (eV per formula unit): -2.7

Cell and atoms, written as CIF:
```
data_NbGeS2
_space_group_name_H-M_alt 'R -3 m'
_space_group_IT_number 166
_space_group_name_Hall '-R 3 2"'
_cell_length_a 3.2189
_cell_length_b 3.2189
_cell_length_c 25.3767
_cell_angle_alpha 90.00
_cell_angle_beta 90.00
_cell_angle_gamma 120.00
loop_
_atom_site_label
_atom_site_fract_x
_atom_site_fract_y
_atom_site_fract_z
_atom_site_occupancy
Nb1 0.0000 0.0000 0.0000 1
Ge1 0.0000 0.0000 0.5000 1
S1 0.0000 0.0000 0.3972 1
```

# 2
Material: SrNb2GeSb
Method: DFT, PBEsol
State: relaxed

Results
Magnetic moment (μB/cell): 0.01
Energy relative to the elements, uncorrected (eV per formula unit): 3.3

Cell and atoms, written as CIF:
```
data_SrNb2GeSb
_space_group_name_H-M_alt 'P 4/m m m'
_space_group_IT_number 123
_space_group_name_Hall '-P 4 2'
_cell_length_a 4.8650
_cell_length_b 4.8650
_cell_length_c 5.5019
_cell_angle_alpha 90.00
_cell_angle_beta 90.00
_cell_angle_gamma 90.00
loop_
_atom_site_label
_atom_site_fract_x
_atom_site_fract_y
_atom_site_fract_z
_atom_site_occupancy
Sr1 0.0000 0.0000 0.0000 1
Nb1 0.0000 0.5000 0.5000 1
Ge1 0.5000 0.5000 0.5000 1
Sb1 0.5000 0.5000 0.0000 1
```

# 3
Material: Sc2NbGe2
Method: DFT, PBEsol
State: relaxed

Results
Magnetic moment (μB/cell): 0.00
E_form (eV per atom): -0.724

Cell and atoms, written as CIF:
```
data_Sc2NbGe2
_space_group_name_H-M_alt 'P 4/m b m'
_space_group_IT_number 127
_space_group_name_Hall '-P 4 2ab'
_cell_length_a 6.9689
_cell_length_b 6.9689
_cell_length_c 3.7307
_cell_angle_alpha 90.00
_cell_angle_beta 90.00
_cell_angle_gamma 90.00
loop_
_atom_site_label
_atom_site_fract_x
_atom_site_fract_y
_atom_site_fract_z
_atom_site_occupancy
Sc1 0.1727 0.3273 0.0000 1
Nb1 0.0000 0.0000 0.5000 1
Ge1 0.1326 0.6326 0.5000 1
```

# 4
Material: ScNb2Ge2
Method: DFT, PBEsol
State: relaxed

Results
Magnetic moment (μB/cell): 0.00
E_form (eV per atom): -0.632

Cell and atoms, written as CIF:
```
data_ScNb2Ge2
_space_group_name_H-M_alt 'P 4/m b m'
_space_group_IT_number 127
_space_group_name_Hall '-P 4 2ab'
_cell_length_a 6.9750
_cell_length_b 6.9750
_cell_length_c 3.4951
_cell_angle_alpha 90.00
_cell_angle_beta 90.00
_cell_angle_gamma 90.00
loop_
_atom_site_label
_atom_site_fract_x
_atom_site_fract_y
_atom_site_fract_z
_atom_site_occupancy
Sc1 0.0000 0.0000 0.0000 1
Nb1 0.1656 0.3344 0.5000 1
Ge1 0.1317 0.6317 0.0000 1
```

# 5
Material: ScNb3Ge
Method: DFT, PBEsol
State: relaxed

Results
Magnetic moment (μB/cell): 0.00
E_form (eV per atom): 1.569

Cell and atoms, written as CIF:
```
data_ScNb3Ge
_space_group_name_H-M_alt 'P m -3 m'
_space_group_IT_number 221
_space_group_name_Hall '-P 4 2 3'
_cell_length_a 4.6716
_cell_length_b 4.6716
_cell_length_c 4.6716
_cell_angle_alpha 90.00
_cell_angle_beta 90.00
_cell_angle_gamma 90.00
loop_
_atom_site_label
_atom_site_fract_x
_atom_site_fract_y
_atom_site_fract_z
_atom_site_occupancy
Sc1 0.0000 0.0000 0.0000 1
Nb1 0.0000 0.0000 0.5000 1
Ge1 0.5000 0.5000 0.5000 1
```

# 6
Material: Sc2Nb3Ge3
Method: DFT, PBEsol
State: relaxed

Results
Magnetic moment (μB/cell): 0.00
E_form (eV per atom): -0.701

Cell and atoms, written as CIF:
```
data_Sc2Nb3Ge3
_space_group_name_H-M_alt 'A m m 2'
_space_group_IT_number 38
_cell_length_a 5.3768
_cell_length_b 13.5469
_cell_length_c 7.7376
_cell_angle_alpha 90.00
_cell_angle_beta 90.00
_cell_angle_gamma 90.00
loop_
_space_group_symop_operation_xyz
'x,y,z'
'-x,-y,z'
'-x,y,z'
'x,-y,z'
'x,y+1/2,z+1/2'
'-x,-y+1/2,z+1/2'
'-x,y+1/2,z+1/2'
'x,-y+1/2,z+1/2'
loop_
_atom_site_label
_atom_site_fract_x
_atom_site_fract_y
_atom_site_fract_z
_atom_site_occupancy
Sc1 0.0000 0.0000 0.0000 1
Sc2 0.0000 0.1262 0.6286 1
Sc3 0.5000 0.0000 0.5042 1
Nb1 0.2497 0.1669 0.2545 1
Nb2 0.5000 0.1330 0.8886 1
Ge1 0.0000 0.0000 0.3617 1
Ge2 0.0000 0.1954 0.9505 1
Ge3 0.5000 0.0000 0.1415 1
Ge4 0.5000 0.1936 0.5620 1
```

# 7
Material: Sc2TiNbGe
Method: DFT, PBEsol
State: relaxed

Results
Magnetic moment (μB/cell): 0.01
E_form (eV per atom): 0.757

Cell and atoms, written as CIF:
```
data_Sc2TiNbGe
_space_group_name_H-M_alt 'P 4/m m m'
_space_group_IT_number 123
_space_group_name_Hall '-P 4 2'
_cell_length_a 4.9779
_cell_length_b 4.9779
_cell_length_c 4.6661
_cell_angle_alpha 90.00
_cell_angle_beta 90.00
_cell_angle_gamma 90.00
loop_
_atom_site_label
_atom_site_fract_x
_atom_site_fract_y
_atom_site_fract_z
_atom_site_occupancy
Sc1 0.0000 0.5000 0.0000 1
Ti1 0.0000 0.0000 0.5000 1
Nb1 0.0000 0.0000 0.0000 1
Ge1 0.5000 0.5000 0.5000 1
```

# 8
Material: Nb2GeSe
Method: DFT, PBEsol
State: relaxed

Results
Magnetic moment (μB/cell): 0.00
Energy relative to the elements, uncorrected (eV per formula unit): -1.4

Cell and atoms, written as CIF:
```
data_Nb2GeSe
_space_group_name_H-M_alt 'F m -3 m'
_space_group_IT_number 225
_space_group_name_Hall '-F 4 2 3'
_cell_length_a 6.3991
_cell_length_b 6.3991
_cell_length_c 6.3991
_cell_angle_alpha 90.00
_cell_angle_beta 90.00
_cell_angle_gamma 90.00
loop_
_atom_site_label
_atom_site_fract_x
_atom_site_fract_y
_atom_site_fract_z
_atom_site_occupancy
Nb1 0.2500 0.2500 0.2500 1
Ge1 0.0000 0.0000 0.0000 1
Se1 0.0000 0.0000 0.5000 1
```

# 9
Material: Nb4GeSe8
Method: DFT, PBEsol
State: relaxed

Results
Magnetic moment (μB/cell): 0.00
Energy relative to the elements, uncorrected (eV per formula unit): -10.5

Cell and atoms, written as CIF:
```
data_Nb4GeSe8
_space_group_name_H-M_alt 'C 1 2/m 1'
_space_group_IT_number 12
_cell_length_a 27.2333
_cell_length_b 3.4584
_cell_length_c 5.9743
_cell_angle_alpha 90.00
_cell_angle_beta 102.63
_cell_angle_gamma 90.00
loop_
_space_group_symop_operation_xyz
'x,y,z'
'-x,-y,-z'
'-x,y,-z'
'x,-y,z'
'x+1/2,y+1/2,z'
'-x+1/2,-y+1/2,-z'
'-x+1/2,y+1/2,-z'
'x+1/2,-y+1/2,z'
loop_
_atom_site_label
_atom_site_fract_x
_atom_site_fract_y
_atom_site_fract_z
_atom_site_occupancy
Nb1 0.1337 0.0000 0.1247 1
Nb2 0.1341 0.5000 0.6440 1
Ge1 0.0000 0.5000 0.5000 1
Se1 0.0692 0.5000 0.9079 1
Se2 0.0715 0.0000 0.4015 1
Se3 0.1947 0.0000 0.5273 1
Se4 0.1969 0.5000 0.0312 1
```

# 10
Material: Nb6SiGe
Method: DFT, PBEsol
State: relaxed

Results
Magnetic moment (μB/cell): 0.00
Energy relative to the elements, uncorrected (eV per formula unit): -2.9

Cell and atoms, written as CIF:
```
data_Nb6SiGe
_space_group_name_H-M_alt 'P m -3'
_space_group_IT_number 200
_space_group_name_Hall '-P 2 2 3'
_cell_length_a 5.1047
_cell_length_b 5.1047
_cell_length_c 5.1047
_cell_angle_alpha 90.00
_cell_angle_beta 90.00
_cell_angle_gamma 90.00
loop_
_atom_site_label
_atom_site_fract_x
_atom_site_fract_y
_atom_site_fract_z
_atom_site_occupancy
Nb1 0.0000 0.2462 0.5000 1
Si1 0.0000 0.0000 0.0000 1
Ge1 0.5000 0.5000 0.5000 1
```

# 11
Material: NbSiGe3
Method: DFT, PBEsol
State: relaxed

Results
Magnetic moment (μB/cell): 0.00
Energy relative to the elements, uncorrected (eV per formula unit): 4.2

Cell and atoms, written as CIF:
```
data_NbSiGe3
_space_group_name_H-M_alt 'P m -3 m'
_space_group_IT_number 221
_space_group_name_Hall '-P 4 2 3'
_cell_length_a 4.9361
_cell_length_b 4.9361
_cell_length_c 4.9361
_cell_angle_alpha 90.00
_cell_angle_beta 90.00
_cell_angle_gamma 90.00
loop_
_atom_site_label
_atom_site_fract_x
_atom_site_fract_y
_atom_site_fract_z
_atom_site_occupancy
Nb1 0.0000 0.0000 0.0000 1
Si1 0.5000 0.5000 0.5000 1
Ge1 0.0000 0.0000 0.5000 1
```

# 12
Material: Nb10Sn3Ge3
Method: DFT, PBEsol
State: relaxed

Results
Magnetic moment (μB/cell): 0.00
E_form (eV per atom): -0.380

Cell and atoms, written as CIF:
```
data_Nb10Sn3Ge3
_space_group_name_H-M_alt 'F m m 2'
_space_group_IT_number 42
_space_group_name_Hall 'F 2 -2'
_cell_length_a 5.1605
_cell_length_b 14.8552
_cell_length_c 14.7315
_cell_angle_alpha 90.00
_cell_angle_beta 90.00
_cell_angle_gamma 90.00
loop_
_atom_site_label
_atom_site_fract_x
_atom_site_fract_y
_atom_site_fract_z
_atom_site_occupancy
Nb1 0.0000 0.1022 0.0000 1
Nb2 0.0000 0.1026 0.6405 1
Nb3 0.0000 0.1708 0.4287 1
Nb4 0.0000 0.1767 0.2160 1
Nb5 0.2485 0.0000 0.3293 1
Sn1 0.0000 0.0000 0.1578 1
Sn2 0.0000 0.1692 0.8217 1
Ge1 0.0000 0.0000 0.4913 1
Ge2 0.2500 0.2500 0.0710 1
```

# 13
Material: SrNbGe3
Method: DFT, PBEsol
State: relaxed

Results
Magnetic moment (μB/cell): 2.32
E_form (eV per atom): 1.763

Cell and atoms, written as CIF:
```
data_SrNbGe3
_space_group_name_H-M_alt 'P m -3 m'
_space_group_IT_number 221
_space_group_name_Hall '-P 4 2 3'
_cell_length_a 5.1836
_cell_length_b 5.1836
_cell_length_c 5.1836
_cell_angle_alpha 90.00
_cell_angle_beta 90.00
_cell_angle_gamma 90.00
loop_
_atom_site_label
_atom_site_fract_x
_atom_site_fract_y
_atom_site_fract_z
_atom_site_occupancy
Sr1 0.0000 0.0000 0.0000 1
Nb1 0.5000 0.5000 0.5000 1
Ge1 0.0000 0.0000 0.5000 1
```

# 14
Material: NbTcGe3
Method: DFT, PBEsol
State: relaxed

Results
Magnetic moment (μB/cell): 3.87
E_form (eV per atom): 0.916

Cell and atoms, written as CIF:
```
data_NbTcGe3
_space_group_name_H-M_alt 'P m -3 m'
_space_group_IT_number 221
_space_group_name_Hall '-P 4 2 3'
_cell_length_a 4.7048
_cell_length_b 4.7048
_cell_length_c 4.7048
_cell_angle_alpha 90.00
_cell_angle_beta 90.00
_cell_angle_gamma 90.00
loop_
_atom_site_label
_atom_site_fract_x
_atom_site_fract_y
_atom_site_fract_z
_atom_site_occupancy
Nb1 0.0000 0.0000 0.0000 1
Tc1 0.5000 0.5000 0.5000 1
Ge1 0.0000 0.5000 0.5000 1
```

# 15
Material: NbGeTe2
Method: DFT, PBEsol
State: relaxed

Results
Magnetic moment (μB/cell): 0.00
Energy relative to the elements, uncorrected (eV per formula unit): 2.5

Cell and atoms, written as CIF:
```
data_NbGeTe2
_space_group_name_H-M_alt 'R -3 m'
_space_group_IT_number 166
_space_group_name_Hall '-R 3 2"'
_cell_length_a 3.6385
_cell_length_b 3.6385
_cell_length_c 26.9337
_cell_angle_alpha 90.00
_cell_angle_beta 90.00
_cell_angle_gamma 120.00
loop_
_atom_site_label
_atom_site_fract_x
_atom_site_fract_y
_atom_site_fract_z
_atom_site_occupancy
Nb1 0.0000 0.0000 0.0000 1
Ge1 0.0000 0.0000 0.5000 1
Te1 0.0000 0.0000 0.0979 1
```

# 16
Material: Ti5Nb5Ge6
Method: DFT, PBEsol
State: relaxed

Results
Magnetic moment (μB/cell): 0.00
E_form (eV per atom): -0.606

Cell and atoms, written as CIF:
```
data_Ti5Nb5Ge6
_space_group_name_H-M_alt 'A m m 2'
_space_group_IT_number 38
_cell_length_a 5.2806
_cell_length_b 13.1441
_cell_length_c 7.6129
_cell_angle_alpha 90.00
_cell_angle_beta 90.00
_cell_angle_gamma 90.00
loop_
_space_group_symop_operation_xyz
'x,y,z'
'-x,-y,z'
'-x,y,z'
'x,-y,z'
'x,y+1/2,z+1/2'
'-x,-y+1/2,z+1/2'
'-x,y+1/2,z+1/2'
'x,-y+1/2,z+1/2'
loop_
_atom_site_label
_atom_site_fract_x
_atom_site_fract_y
_atom_site_fract_z
_atom_site_occupancy
Ti1 0.0000 0.0000 0.0000 1
Ti2 0.0000 0.1281 0.3874 1
Ti3 0.5000 0.1288 0.1319 1
Nb1 0.2495 0.1665 0.7593 1
Nb2 0.5000 0.0000 0.5204 1
Ge1 0.0000 0.0000 0.6421 1
Ge2 0.0000 0.1909 0.0684 1
Ge3 0.5000 0.0000 0.8808 1
Ge4 0.5000 0.1936 0.4505 1
```

# 17
Material: TiNb2Ge2
Method: DFT, PBEsol
State: relaxed

Results
Magnetic moment (μB/cell): 0.00
E_form (eV per atom): -0.615

Cell and atoms, written as CIF:
```
data_TiNb2Ge2
_space_group_name_H-M_alt 'P 4/m b m'
_space_group_IT_number 127
_space_group_name_Hall '-P 4 2ab'
_cell_length_a 6.7522
_cell_length_b 6.7522
_cell_length_c 3.5425
_cell_angle_alpha 90.00
_cell_angle_beta 90.00
_cell_angle_gamma 90.00
loop_
_atom_site_label
_atom_site_fract_x
_atom_site_fract_y
_atom_site_fract_z
_atom_site_occupancy
Ti1 0.0000 0.0000 0.0000 1
Nb1 0.1691 0.3309 0.5000 1
Ge1 0.1333 0.6333 0.0000 1
```

# 18
Material: Ti2NbGe2
Method: DFT, PBEsol
State: relaxed

Results
Magnetic moment (μB/cell): 0.00
E_form (eV per atom): -0.690

Cell and atoms, written as CIF:
```
data_Ti2NbGe2
_space_group_name_H-M_alt 'P 4/m b m'
_space_group_IT_number 127
_space_group_name_Hall '-P 4 2ab'
_cell_length_a 6.7911
_cell_length_b 6.7911
_cell_length_c 3.4274
_cell_angle_alpha 90.00
_cell_angle_beta 90.00
_cell_angle_gamma 90.00
loop_
_atom_site_label
_atom_site_fract_x
_atom_site_fract_y
_atom_site_fract_z
_atom_site_occupancy
Ti1 0.1707 0.3293 0.0000 1
Nb1 0.0000 0.0000 0.5000 1
Ge1 0.1310 0.6310 0.5000 1
```

# 19
Material: Nb3GeW
Method: DFT, PBEsol
State: relaxed

Results
Magnetic moment (μB/cell): 0.00
E_form (eV per atom): 1.402

Cell and atoms, written as CIF:
```
data_Nb3GeW
_space_group_name_H-M_alt 'P m -3 m'
_space_group_IT_number 221
_space_group_name_Hall '-P 4 2 3'
_cell_length_a 4.8140
_cell_length_b 4.8140
_cell_length_c 4.8140
_cell_angle_alpha 90.00
_cell_angle_beta 90.00
_cell_angle_gamma 90.00
loop_
_atom_site_label
_atom_site_fract_x
_atom_site_fract_y
_atom_site_fract_z
_atom_site_occupancy
Nb1 0.0000 0.0000 0.5000 1
Ge1 0.5000 0.5000 0.5000 1
W1 0.0000 0.0000 0.0000 1
```

# 20
Material: YNb3Ge
Method: DFT, PBEsol
State: relaxed

Results
Magnetic moment (μB/cell): 0.00
E_form (eV per atom): 0.598

Cell and atoms, written as CIF:
```
data_YNb3Ge
_space_group_name_H-M_alt 'P m -3 m'
_space_group_IT_number 221
_space_group_name_Hall '-P 4 2 3'
_cell_length_a 4.8258
_cell_length_b 4.8258
_cell_length_c 4.8258
_cell_angle_alpha 90.00
_cell_angle_beta 90.00
_cell_angle_gamma 90.00
loop_
_atom_site_label
_atom_site_fract_x
_atom_site_fract_y
_atom_site_fract_z
_atom_site_occupancy
Y1 0.0000 0.0000 0.0000 1
Nb1 0.0000 0.5000 0.5000 1
Ge1 0.5000 0.5000 0.5000 1
```

# 21
Material: Zr2Nb3Ge4
Method: DFT, PBEsol
State: relaxed

Results
Magnetic moment (μB/cell): 0.00
E_form (eV per atom): -0.611

Cell and atoms, written as CIF:
```
data_Zr2Nb3Ge4
_space_group_name_H-M_alt 'P n m a'
_space_group_IT_number 62
_cell_length_a 6.7950
_cell_length_b 13.3636
_cell_length_c 6.8929
_cell_angle_alpha 90.00
_cell_angle_beta 90.00
_cell_angle_gamma 90.00
loop_
_space_group_symop_operation_xyz
'x,y,z'
'-x,-y,-z'
'-x+1/2,-y,z+1/2'
'x+1/2,y,-z+1/2'
'x+1/2,-y+1/2,-z+1/2'
'-x+1/2,y+1/2,z+1/2'
'-x,y+1/2,-z'
'x,-y+1/2,z'
loop_
_atom_site_label
_atom_site_fract_x
_atom_site_fract_y
_atom_site_fract_z
_atom_site_occupancy
Zr1 0.1495 0.1238 0.1664 1
Nb1 0.0211 0.5909 0.3224 1
Nb2 0.1763 0.7500 0.9963 1
Ge1 0.0470 0.7500 0.5977 1
Ge2 0.1794 0.2500 0.8420 1
Ge3 0.1971 0.5424 0.9736 1
```

# 22
Material: Zr2NbGe2
Method: DFT, PBEsol
State: relaxed

Results
Magnetic moment (μB/cell): 0.00
E_form (eV per atom): -0.833

Cell and atoms, written as CIF:
```
data_Zr2NbGe2
_space_group_name_H-M_alt 'P 4/m b m'
_space_group_IT_number 127
_space_group_name_Hall '-P 4 2ab'
_cell_length_a 6.9406
_cell_length_b 6.9406
_cell_length_c 3.7417
_cell_angle_alpha 90.00
_cell_angle_beta 90.00
_cell_angle_gamma 90.00
loop_
_atom_site_label
_atom_site_fract_x
_atom_site_fract_y
_atom_site_fract_z
_atom_site_occupancy
Zr1 0.1735 0.3265 0.0000 1
Nb1 0.0000 0.0000 0.5000 1
Ge1 0.1295 0.6295 0.5000 1
```

# 23
Material: ZrNb3Ge
Method: DFT, PBEsol
State: relaxed

Results
Magnetic moment (μB/cell): 0.00
E_form (eV per atom): 1.669

Cell and atoms, written as CIF:
```
data_ZrNb3Ge
_space_group_name_H-M_alt 'P m -3 m'
_space_group_IT_number 221
_space_group_name_Hall '-P 4 2 3'
_cell_length_a 4.8231
_cell_length_b 4.8231
_cell_length_c 4.8231
_cell_angle_alpha 90.00
_cell_angle_beta 90.00
_cell_angle_gamma 90.00
loop_
_atom_site_label
_atom_site_fract_x
_atom_site_fract_y
_atom_site_fract_z
_atom_site_occupancy
Zr1 0.0000 0.0000 0.0000 1
Nb1 0.0000 0.0000 0.5000 1
Ge1 0.5000 0.5000 0.5000 1
```